VASP calculation (PBE) on a geometry-optimized NbB2IrF structure.

Calculated values
formation energy without anion corrections = 354 meV per atom
uncorrected energy = -32.39 eV per cell
density = 6.7 g/cm³
space-group type = P4/mmm, No. 123

Cell lengths 3.970, 5.157, 3.970 Å; angles 90.00, 90.00, 90.00 degrees
Site moments in Bohr magnetons follow the coordinates.
Sites, in units of the cell vectors:
Nb 0.000 0.500 0.000  1.40
Ir 0.000 0.000 0.000  -0.05
B 0.000 0.000 0.500  -0.04
B 0.500 0.000 0.000  -0.01
F 0.500 0.500 0.500  0.00



VASP calculation (PBE) on a geometry-optimized BIrOF2 structure.

Calculated values
polymorph energy (0 for the lowest one) = 0.000 eV per atom
formation energy without anion corrections = -546 meV per atom
uncorrected energy = -26.97 eV per cell
density = 7.9 g/cm³
space-group type = P4/mmm, No. 123

Cell lengths 4.577, 4.577, 2.577 Å; angles 90.00, 90.00, 90.00 degrees
Site moments in Bohr magnetons follow the coordinates.
Sites, in units of the cell vectors:
B 0.000 0.000 0.000  0.00
Ir 0.500 0.500 0.500  1.13
O 0.000 0.000 0.500  0.00
F 0.000 0.500 0.000  0.04
F 0.500 0.000 0.000  0.04



VASP calculation (PBE) on a geometry-optimized BIrOF2 structure.

Calculated values
polymorph energy (0 for the lowest one) = 0.761 eV per atom
formation energy without anion corrections = 215 meV per atom
uncorrected energy = -23.16 eV per cell
density = 6.1 g/cm³
space-group type = P4/mmm, No. 123

Cell lengths 4.339, 4.339, 3.730 Å; angles 90.00, 90.00, 90.00 degrees
Sites, in units of the cell vectors:
B 0.500 0.500 0.500
Ir 0.000 0.000 0.000
O 0.000 0.000 0.500
F 0.000 0.500 0.000
F 0.500 0.000 0.000



VASP calculation (PBE) on a geometry-optimized BIr2PdF structure.

Calculated values
formation energy without anion corrections = 349 meV per atom
uncorrected energy = -29.72 eV per cell
density = 13.1 g/cm³
space-group type = P4/mmm, No. 123

Cell lengths 4.131, 3.867, 4.131 Å; angles 90.00, 90.00, 90.00 degrees
Sites, in units of the cell vectors:
B 0.000 0.000 0.000
Ir 0.000 0.000 0.500
Ir 0.500 0.000 0.000
Pd 0.500 0.500 0.500
F 0.000 0.500 0.000



VASP calculation (PBE) on a geometry-optimized SrB2IrF structure.

Calculated values
formation energy without anion corrections = 1176 meV per atom
uncorrected energy = -19.89 eV per cell
density = 6.5 g/cm³
space-group type = P4/mmm, No. 123

Cell lengths 4.447, 4.124, 4.447 Å; angles 90.00, 90.00, 90.00 degrees
Sites, in units of the cell vectors:
Sr 0.500 0.500 0.500
B 0.000 0.000 0.500
B 0.500 0.000 0.000
Ir 0.000 0.500 0.000
F 0.000 0.000 0.000



VASP calculation (PBE) on a geometry-optimized TlBIr2F structure.

Calculated values
formation energy without anion corrections = 1652 meV per atom
uncorrected energy = -20.37 eV per cell
density = 11.7 g/cm³
space-group type = P4/mmm, No. 123

Cell lengths 4.206, 4.963, 4.206 Å; angles 90.00, 90.00, 90.00 degrees
Sites, in units of the cell vectors:
Tl 0.000 0.500 0.000
Ir 0.000 0.000 0.500
Ir 0.500 0.000 0.000
B 0.500 0.500 0.500
F 0.000 0.000 0.000



VASP calculation (PBE) on a geometry-optimized KBF2 structure.

Calculated values
polymorph energy (0 for the lowest one) = 0.321 eV per atom
formation energy without anion corrections = -717 meV per atom
uncorrected energy = -14.39 eV per cell
density = 2.5 g/cm³
space-group type = Fm-3m, No. 225

Cell lengths 4.342, 4.342, 4.342 Å; angles 60.00, 60.00, 60.00 degrees
Sites, in units of the cell vectors:
K 0.500 0.500 0.500
B 0.000 0.000 0.000
F 0.250 0.250 0.250
F 0.750 0.750 0.750



VASP calculation (PBE) on a geometry-optimized KB2F8 structure.

Calculated values
formation energy without anion corrections = -2604 meV per atom
uncorrected energy = -58.07 eV per cell
density = 2.1 g/cm³
space-group type = C2/m, No. 12

Cell lengths 5.622, 6.067, 6.067 Å; angles 58.35, 74.18, 74.18 degrees
Site moments in Bohr magnetons follow the coordinates.
Sites, in units of the cell vectors:
K 0.000 0.000 0.000  0.00
B 0.703 0.769 0.769  -0.01
B 0.297 0.231 0.231  -0.01
F 0.215 0.373 0.982  0.15
F 0.785 0.018 0.627  0.15
F 0.438 0.819 0.819  0.12
F 0.562 0.181 0.181  0.12
F 0.215 0.982 0.373  0.15
F 0.785 0.627 0.018  0.15
F 0.791 0.632 0.632  0.07
F 0.209 0.368 0.368  0.07



VASP calculation (PBE) on a geometry-optimized KBF2 structure.

Calculated values
polymorph energy (0 for the lowest one) = 0.000 eV per atom
formation energy without anion corrections = -1038 meV per atom
uncorrected energy = -15.67 eV per cell
density = 1.7 g/cm³
space-group type = R-3m, No. 166

Cell lengths 6.428, 6.428, 6.428 Å; angles 36.72, 36.72, 36.72 degrees
Sites, in units of the cell vectors:
K 0.500 0.500 0.500
B 0.000 0.000 0.000
F 0.908 0.908 0.908
F 0.092 0.092 0.092



VASP calculation (PBE) on a geometry-optimized K2B2F7 structure.

Calculated values
formation energy without anion corrections = -2580 meV per atom
uncorrected energy = -57.02 eV per cell
density = 1.9 g/cm³
space-group type = C2/m, No. 12

Cell lengths 4.614, 7.201, 7.201 Å; angles 116.62, 97.88, 97.88 degrees
Sites, in units of the cell vectors:
K 0.500 0.310 0.690
K 0.500 0.690 0.310
B 0.089 0.812 0.812
B 0.911 0.188 0.188
F 0.252 0.718 0.907
F 0.748 0.093 0.282
F 0.748 0.282 0.093
F 0.252 0.907 0.718
F 0.183 0.322 0.322
F 0.000 0.000 0.000
F 0.817 0.678 0.678



VASP calculation (PBE) on a geometry-optimized KB2F7 structure.

Calculated values
formation energy without anion corrections = -2462 meV per atom
uncorrected energy = -52.17 eV per cell
density = 2.7 g/cm³
space-group type = Cmmm, No. 65

Cell lengths 2.763, 9.247, 9.247 Å; angles 149.62, 90.00, 90.00 degrees
Sites, in units of the cell vectors:
K 0.000 0.000 0.000
B 0.500 0.667 0.333
B 0.500 0.333 0.667
F 0.000 0.717 0.283
F 0.000 0.283 0.717
F 0.500 0.118 0.389
F 0.500 0.882 0.611
F 0.500 0.389 0.118
F 0.500 0.611 0.882
F 0.500 0.500 0.500



VASP calculation (PBE) on a geometry-optimized KB3F12 structure.

Calculated values
formation energy without anion corrections = -2462 meV per atom
uncorrected energy = -165.95 eV per cell
density = 1.7 g/cm³
space-group type = R3c, No. 161

Cell lengths 8.464, 8.464, 10.400 Å; angles 65.99, 65.99, 60.00 degrees
Site moments in Bohr magnetons follow the coordinates.
Sites, in units of the cell vectors:
K 0.050 0.050 0.849  0.00
K 0.550 0.550 0.349  0.00
B 0.637 0.384 0.999  -0.01
B 0.137 0.480 0.499  -0.01
B 0.884 0.137 0.499  -0.01
B 0.384 0.980 0.999  -0.01
B 0.980 0.637 0.999  -0.01
B 0.480 0.884 0.499  -0.01
F 0.188 0.092 0.034  0.14
F 0.089 0.348 0.625  0.13
F 0.984 0.986 0.433  0.21
F 0.794 0.425 0.897  0.16
F 0.294 0.384 0.397  0.16
F 0.484 0.097 0.933  0.21
F 0.589 0.438 0.125  0.13
F 0.986 0.597 0.433  0.21
F 0.688 0.186 0.534  0.14
F 0.938 0.089 0.625  0.13
F 0.925 0.294 0.397  0.16
F 0.186 0.592 0.534  0.14
F 0.097 0.486 0.933  0.21
F 0.686 0.188 0.034  0.14
F 0.425 0.884 0.897  0.16
F 0.438 0.848 0.125  0.13
F 0.848 0.589 0.125  0.13
F 0.486 0.484 0.933  0.21
F 0.592 0.688 0.534  0.14
F 0.884 0.794 0.897  0.16
F 0.384 0.925 0.397  0.16
F 0.092 0.686 0.034  0.14
F 0.348 0.938 0.625  0.13
F 0.597 0.984 0.433  0.21